(1)
The following is a DFT calculation (GGA-PBE) of a geometry-optimized Cs3Ga2Te3 structure.

```
Cs3Ga2Te3
1.0
2.691 -7.073 0.000
2.691 7.073 0.000
0.000 0.000 17.923
Cs Ga Te
6 4 6
Cartesian
2.691 5.967 10.879
2.691 5.967 16.005
2.691 1.647 13.442
2.691 -1.647 4.481
2.691 -5.967 1.918
2.691 -5.967 7.044
2.691 3.823 1.520
2.691 3.823 7.442
2.691 -3.823 10.482
2.691 -3.823 16.403
2.691 2.839 4.481
2.691 2.079 9.817
2.691 2.079 17.068
2.691 -2.079 0.855
2.691 -2.079 8.107
2.691 -2.839 13.442
```

## Properties
The calculation puts the total magnetization at 0.000 μB per atom. The calculation puts the electronic total energy at -2.9199 eV per atom.

(2)
The following is a DFT calculation (GGA-PBE) of a geometry-optimized CsGa2Te3 structure.

```
CsGa2Te3
1.0
12.984 -2.458 0.000
12.984 2.458 0.000
-1.571 0.000 7.912
Cs Ga Te
2 4 6
Cartesian
2.856 0.000 3.395
21.541 0.000 4.517
5.264 0.000 0.292
11.326 0.000 0.314
13.071 0.000 7.598
19.133 0.000 7.620
1.306 0.000 6.985
5.751 0.000 6.360
11.011 0.000 5.892
13.386 0.000 2.019
18.647 0.000 1.552
23.091 0.000 0.927
```

## Properties
The calculation puts the total magnetization at 0.000 μB per atom. The calculation puts the electronic total energy at -3.2172 eV per atom.

(3)
The following is a DFT calculation (GGA-PBE) of a geometry-optimized CsGaTe2 structure.

```
CsGaTe2
1.0
2.110 1.218 10.288
-2.110 1.218 10.288
0.000 -2.436 10.288
Cs Ga Te
1 1 2
Cartesian
0.000 0.000 0.000
0.000 0.000 15.431
0.000 0.000 3.572
0.000 0.000 27.291
```

## Properties
The calculation puts the total magnetization at 0.000 μB per atom. The calculation puts the electronic total energy at -2.7664 eV per atom.

(4)
The following is a DFT calculation (GGA-PBE) of a geometry-optimized CsGaTe2 structure.

```
CsGaTe2
1.0
6.051 -6.050 0.000
6.051 6.050 0.000
-3.024 0.000 18.082
Cs Ga Te
8 8 16
Cartesian
3.784 3.785 10.835
0.757 0.759 16.128
3.781 3.785 16.287
2.269 -0.759 7.087
6.808 0.759 10.994
5.296 -3.785 1.794
8.320 -0.759 1.953
5.293 -3.785 7.247
3.800 3.765 5.949
3.797 0.772 3.101
6.789 3.765 3.092
2.285 -0.772 12.142
6.792 0.772 5.940
2.288 -3.765 14.990
5.280 -0.772 14.981
5.277 -3.765 12.133
2.143 2.269 4.525
5.295 5.419 4.520
0.758 0.752 10.530
2.270 -0.752 1.489
5.289 2.265 1.450
5.300 2.265 7.591
0.631 -2.269 13.566
3.782 0.884 13.561
5.295 -0.884 4.520
8.446 2.269 4.516
3.777 -2.265 10.491
3.788 -2.265 16.631
6.807 0.752 16.593
8.319 -0.752 7.552
3.782 -5.419 13.561
6.933 -2.269 13.557
```

## Properties
The calculation puts the total magnetization at 0.000 μB per atom. The calculation puts the electronic total energy at -3.2925 eV per atom.

(5)
The following is a DFT calculation (GGA-PBE) of a geometry-optimized Cs3GaTe3 structure.

```
Cs3GaTe3
1.0
5.152 -7.647 0.000
5.152 7.647 0.000
-2.058 0.000 8.842
Cs Ga Te
6 2 6
Cartesian
5.152 4.939 0.000
4.123 3.944 4.421
3.707 0.000 1.347
4.539 0.000 7.495
4.123 -3.944 4.421
5.152 -4.939 0.000
0.344 0.000 5.757
7.903 0.000 3.086
0.332 0.000 3.012
1.390 2.151 6.865
1.390 -2.151 6.865
6.857 2.151 1.977
6.857 -2.151 1.977
7.915 0.000 5.831
```

## Properties
The calculation puts the total magnetization at 0.000 μB per atom. The calculation puts the electronic total energy at -3.0657 eV per atom. The energy above the most stable polymorph in this dataset comes out at 0.0 meV per atom.

(6)
The following is a DFT calculation (GGA-PBE) of a geometry-optimized Cs3GaTe2 structure.

```
Cs3GaTe2
1.0
10.948 -3.145 0.000
10.948 3.145 0.000
-0.384 0.000 9.470
Cs Ga Te
6 2 4
Cartesian
0.684 0.000 2.202
4.086 0.000 5.092
6.589 0.000 8.880
14.923 0.000 0.590
17.425 0.000 4.377
20.827 0.000 7.268
9.163 0.000 2.757
12.349 0.000 6.712
2.539 0.000 8.305
8.173 0.000 5.354
13.338 0.000 4.115
18.973 0.000 1.165
```

## Properties
The calculation puts the total magnetization at 0.000 μB per atom. The calculation puts the electronic total energy at -2.7115 eV per atom.

(7)
The following is a DFT calculation (GGA-PBE) of a geometry-optimized Cs2TmGaTe4 structure.

```
Cs2TmGaTe4
1.0
0.000 7.984 14.099
3.354 0.000 14.099
3.354 7.984 0.000
Cs Tm Ga Te
4 2 2 8
Cartesian
2.515 5.988 1.588
4.192 9.980 8.638
2.515 5.988 19.561
4.192 9.980 26.610
0.838 1.996 3.525
5.869 13.973 24.674
2.515 5.988 10.574
4.192 9.980 17.624
2.681 3.594 5.066
4.026 7.587 12.116
2.349 8.382 5.066
2.349 3.594 16.083
4.358 12.374 12.116
4.358 7.587 23.132
2.681 8.382 16.083
4.026 12.374 23.132
```

## Properties
The calculation puts the total magnetization at 0.000 μB per atom. The calculation puts the electronic total energy at -3.7001 eV per atom.

(8)
The following is a DFT calculation (GGA-PBE) of a geometry-optimized CsTmGaTe4 structure.

```
CsTmGaTe4
1.0
7.625 0.000 0.000
0.000 6.616 0.000
-3.040 0.000 10.308
Cs Tm Ga Te
2 2 2 8
Cartesian
1.607 1.654 0.524
2.978 4.962 9.785
0.274 1.654 5.674
4.311 4.962 4.635
0.970 4.962 3.471
3.615 1.654 6.837
-1.973 3.382 7.157
-1.973 6.543 7.157
1.533 4.962 6.011
2.964 4.962 1.857
1.621 1.654 8.451
3.052 1.654 4.297
6.558 0.073 3.151
6.558 3.235 3.151
```

## Properties
The calculation puts the total magnetization at 0.000 μB per atom. The calculation puts the electronic total energy at -3.8289 eV per atom.